No. 1
{
  "formula": "Zr4Ga3H",
  "functional": "PBE-GGA",
  "state": "relaxed",
  "lattice": [[5.6240, 0.0000, 0.0000], [0.0000, 5.5124, 0.0000], [0.0000, 0.0000, 9.3342]],
  "species": ["Zr", "Zr", "Zr", "Zr", "Zr", "Zr", "Zr", "Zr", "Ga", "Ga", "Ga", "Ga", "Ga", "Ga", "H", "H"],
  "frac_coords": [[0.9072, 0.6012, 0.0000], [0.6260, 0.0600, 0.0000], [0.1362, 0.1478, 0.1753], [0.6362, 0.8522, 0.3247], [0.1260, 0.9400, 0.5000], [0.4072, 0.3988, 0.5000], [0.6362, 0.8522, 0.6753], [0.1362, 0.1478, 0.8247], [0.4098, 0.5669, 0.0000], [0.1588, 0.6466, 0.2624], [0.6588, 0.3534, 0.2376], [0.9098, 0.4331, 0.5000], [0.6588, 0.3534, 0.7624], [0.1588, 0.6466, 0.7376], [0.9822, 0.9757, 0.0000], [0.4822, 0.0243, 0.5000]],
  "e_tot_ev_per_atom": -6.245,
  "total_magnetization_mub_per_atom": 0.000
}

=====

No. 2
{
  "formula": "Zr3GaH3",
  "functional": "PBE-GGA",
  "state": "relaxed",
  "lattice": [[-0.2514, 4.3484, 4.0108], [-0.7325, -1.2969, 5.7306], [6.1032, 0.6976, 3.9968]],
  "species": ["Zr", "Zr", "Zr", "Zr", "Zr", "Zr", "Ga", "Ga", "H", "H", "H", "H", "H", "H"],
  "frac_coords": [[0.2261, 0.5853, 0.2806], [0.9079, 0.2261, 0.2806], [0.5853, 0.9079, 0.2806], [0.4147, 0.0921, 0.7194], [0.0921, 0.7739, 0.7194], [0.7739, 0.4147, 0.7194], [0.3337, 0.3337, 0.9988], [0.6663, 0.6663, 0.0012], [0.4754, 0.7872, 0.6020], [0.7872, 0.1354, 0.6020], [0.1354, 0.4754, 0.6020], [0.8646, 0.5246, 0.3980], [0.2128, 0.8646, 0.3980], [0.5246, 0.2128, 0.3980]],
  "e_tot_ev_per_atom": -5.899,
  "total_magnetization_mub_per_atom": 0.000
}

=====

No. 3
{
  "formula": "Zr3Ga2H",
  "functional": "PBE-GGA",
  "state": "relaxed",
  "lattice": [[4.9170, 0.0000, 0.0000], [0.0000, 6.2269, 0.6834], [-2.4585, -0.8256, 6.8241]],
  "species": ["Zr", "Zr", "Zr", "Zr", "Zr", "Zr", "Ga", "Ga", "Ga", "Ga", "H", "H"],
  "frac_coords": [[0.4790, 0.2500, 0.0000], [0.5210, 0.7500, 0.0000], [0.1434, 0.2460, 0.2985], [0.8449, 0.2540, 0.7015], [0.1551, 0.7460, 0.2985], [0.8566, 0.7540, 0.7015], [0.6716, 0.5001, 0.3430], [0.6714, 0.0001, 0.3430], [0.3286, 0.9999, 0.6570], [0.3284, 0.4999, 0.6570], [0.9427, 0.7500, 0.0000], [0.0573, 0.2500, 0.0000]],
  "e_tot_ev_per_atom": -6.199,
  "total_magnetization_mub_per_atom": 0.000
}

=====

No. 4
{
  "formula": "ZrGaH2",
  "functional": "PBE-GGA",
  "state": "relaxed",
  "lattice": [[-2.9154, -0.1460, 2.6319], [-2.6577, 2.8917, 0.1512], [-3.6886, -0.6569, -1.1876]],
  "species": ["H", "H", "Ga", "Zr"],
  "frac_coords": [[0.2500, 0.2500, 0.2500], [0.7500, 0.7500, 0.7500], [0.0000, 0.0000, 0.0000], [0.5000, 0.5000, 0.5000]],
  "e_tot_ev_per_atom": -4.492,
  "total_magnetization_mub_per_atom": 0.000
}

=====

No. 5
{
  "formula": "ZrGa2H",
  "functional": "PBE-GGA",
  "state": "relaxed",
  "lattice": [[0.0000, 3.2279, 3.2279], [3.2279, 0.0000, 3.2279], [3.2279, 3.2279, 0.0000]],
  "species": ["H", "Ga", "Ga", "Zr"],
  "frac_coords": [[0.0000, 0.0000, 0.0000], [0.2500, 0.2500, 0.2500], [0.7500, 0.7500, 0.7500], [0.5000, 0.5000, 0.5000]],
  "e_tot_ev_per_atom": -4.014,
  "total_magnetization_mub_per_atom": 0.000
}

=====

No. 6
{
  "formula": "ZrGaH2",
  "functional": "PBE-GGA",
  "state": "relaxed",
  "lattice": [[-1.9160, -0.4752, 3.5489], [3.1811, -2.0734, 1.4398], [3.0553, 3.8255, 4.4853]],
  "species": ["H", "H", "H", "H", "Ga", "Ga", "Zr", "Zr"],
  "frac_coords": [[0.6961, 0.1250, 0.2500], [0.0539, 0.6250, 0.2500], [0.3750, 0.3039, 0.7500], [0.8750, 0.9461, 0.7500], [0.5000, 0.5000, 0.0000], [0.2500, 0.7500, 0.5000], [0.0000, 0.0000, 0.0000], [0.7500, 0.2500, 0.5000]],
  "e_tot_ev_per_atom": -4.672,
  "total_magnetization_mub_per_atom": 0.000
}

=====

No. 7
{
  "formula": "ZrGa2H",
  "functional": "PBE-GGA",
  "state": "relaxed",
  "lattice": [[5.8378, 0.0000, 0.0000], [0.0000, 5.8378, 0.0000], [2.9189, 2.9189, 3.6776]],
  "species": ["H", "H", "Ga", "Ga", "Ga", "Ga", "Zr", "Zr"],
  "frac_coords": [[0.5000, 0.5000, 0.0000], [0.2500, 0.7500, 0.5000], [0.4888, 0.1250, 0.2500], [0.2612, 0.6250, 0.2500], [0.3750, 0.5112, 0.7500], [0.8750, 0.7388, 0.7500], [0.0000, 0.0000, 0.0000], [0.7500, 0.2500, 0.5000]],
  "e_tot_ev_per_atom": -4.385,
  "total_magnetization_mub_per_atom": 0.000
}

=====

No. 8
{
  "formula": "Hf4Ga",
  "functional": "PBE-GGA",
  "state": "relaxed",
  "lattice": [[-0.6444, -4.8736, -0.7411], [2.2665, -0.9566, 4.3202], [-4.3776, 0.2221, 2.3458]],
  "species": ["Hf", "Hf", "Hf", "Hf", "Ga"],
  "frac_coords": [[0.0000, 0.0000, 0.0000], [0.5000, 0.0000, 0.5000], [0.0000, 0.5000, 0.5000], [0.5000, 0.5000, 0.0000], [0.5000, 0.5000, 0.5000]],
  "e_tot_ev_per_atom": -7.941,
  "total_magnetization_mub_per_atom": 0.331
}

=====

No. 9
{
  "formula": "HfGa5",
  "functional": "PBE-GGA",
  "state": "relaxed",
  "lattice": [[3.9444, 0.0000, 0.0000], [0.0000, 4.0762, 0.0000], [0.0000, -2.0381, 6.6183]],
  "species": ["Hf", "Ga", "Ga", "Ga", "Ga", "Ga"],
  "frac_coords": [[0.0000, 0.0000, 0.0000], [0.5000, 0.8282, 0.6565], [0.0000, 0.6587, 0.3175], [0.5000, 0.5000, 0.0000], [0.0000, 0.3413, 0.6825], [0.5000, 0.1718, 0.3435]],
  "e_tot_ev_per_atom": -4.343,
  "total_magnetization_mub_per_atom": 0.000
}

=====

No. 10
{
  "formula": "Hf4Ga",
  "functional": "PBE-GGA",
  "state": "relaxed",
  "lattice": [[6.7124, -0.4779, 0.0000], [-3.1255, 5.9595, 0.0000], [-1.7934, -2.7408, 5.8785]],
  "species": ["Hf", "Hf", "Hf", "Hf", "Hf", "Hf", "Hf", "Hf", "Ga", "Ga"],
  "frac_coords": [[0.7023, 0.3941, 0.3082], [0.0859, 0.3941, 0.6918], [0.1441, 0.3359, 0.1918], [0.1441, 0.9523, 0.8082], [0.6641, 0.8559, 0.8082], [0.0477, 0.8559, 0.1918], [0.6059, 0.9141, 0.3082], [0.6059, 0.2977, 0.6918], [0.5000, 0.5000, 0.0000], [0.2500, 0.7500, 0.5000]],
  "e_tot_ev_per_atom": -8.464,
  "total_magnetization_mub_per_atom": 0.000
}

=====

No. 11
{
  "formula": "HfGa",
  "functional": "PBE-GGA",
  "state": "relaxed",
  "lattice": [[-2.6007, 4.9442, -0.9749], [-6.2098, -2.1908, 5.4557], [4.7142, 3.8419, 6.9085]],
  "species": ["Hf", "Hf", "Hf", "Hf", "Hf", "Hf", "Hf", "Hf", "Hf", "Hf", "Hf", "Hf", "Ga", "Ga", "Ga", "Ga", "Ga", "Ga", "Ga", "Ga", "Ga", "Ga", "Ga", "Ga"],
  "frac_coords": [[0.0000, 0.7500, 0.1106], [0.5000, 0.2500, 0.8894], [0.0000, 0.2500, 0.8894], [0.5000, 0.7500, 0.1106], [0.7500, 0.4730, 0.6161], [0.2500, 0.5270, 0.3839], [0.7500, 0.9730, 0.3839], [0.2500, 0.0270, 0.6161], [0.7500, 0.3649, 0.1922], [0.2500, 0.6351, 0.8078], [0.7500, 0.8649, 0.8078], [0.2500, 0.1351, 0.1922], [0.0000, 0.7500, 0.5666], [0.5000, 0.2500, 0.4334], [0.0000, 0.2500, 0.4334], [0.5000, 0.7500, 0.5666], [0.7500, 0.0487, 0.0873], [0.2500, 0.9513, 0.9127], [0.7500, 0.5487, 0.9127], [0.2500, 0.4513, 0.0873], [0.7500, 0.1334, 0.6509], [0.2500, 0.8666, 0.3491], [0.7500, 0.6334, 0.3491], [0.2500, 0.3666, 0.6509]],
  "e_tot_ev_per_atom": -7.000,
  "total_magnetization_mub_per_atom": 0.000
}

=====

No. 12
{
  "formula": "HfGa",
  "functional": "PBE-GGA",
  "state": "relaxed",
  "lattice": [[-4.3342, -5.8696, -2.5260], [6.2793, -3.3462, -2.9987], [0.8306, -2.6199, 4.6627]],
  "species": ["Hf", "Hf", "Hf", "Hf", "Hf", "Hf", "Hf", "Hf", "Ga", "Ga", "Ga", "Ga", "Ga", "Ga", "Ga", "Ga"],
  "frac_coords": [[0.3065, 0.0579, 0.0000], [0.6935, 0.9421, 0.0000], [0.9421, 0.3065, 0.0000], [0.0579, 0.6935, 0.0000], [0.8065, 0.5579, 0.5000], [0.1935, 0.4421, 0.5000], [0.4421, 0.8065, 0.5000], [0.5579, 0.1935, 0.5000], [0.4127, 0.7152, 0.0000], [0.5873, 0.2848, 0.0000], [0.2848, 0.4127, 0.0000], [0.7152, 0.5873, 0.0000], [0.9127, 0.2152, 0.5000], [0.0873, 0.7848, 0.5000], [0.7848, 0.9127, 0.5000], [0.2152, 0.0873, 0.5000]],
  "e_tot_ev_per_atom": -6.613,
  "total_magnetization_mub_per_atom": 0.000
}